(1)
Here is a relaxed structure of Tb5Tl2In2 from Alexandria via LeMat-Bulk. Energies are from GGA-PBE.

Cell: 9.056 9.056 7.895 Å, 90.00 90.00 54.90°
Fractional coordinates of all 18 atoms:
Tb  0.000  0.000  0.000
Tb  0.044  0.677  0.670
Tb  0.177  0.544  0.170
Tb  0.323  0.956  0.670
Tb  0.456  0.823  0.170
Tb  0.500  0.500  0.500
Tb  0.544  0.177  0.830
Tb  0.677  0.044  0.330
Tb  0.823  0.456  0.830
Tb  0.956  0.323  0.330
Tl  0.129  0.871  0.372
Tl  0.371  0.629  0.872
Tl  0.629  0.371  0.128
Tl  0.871  0.129  0.628
In  0.210  0.210  0.000
In  0.290  0.290  0.500
In  0.710  0.710  0.500
In  0.790  0.790  0.000

Calculated values
Distance to the lowest polymorph of the same formula (meV/atom): 24
SG: Cmce
DOS(E_F) (states/eV/atom): 0.75
E_form (eV/atom): -0.34

=====

(2)
Here is a relaxed structure of SrCa2CuF8 from Alexandria via LeMat-Bulk. Energies are from GGA-PBE.

Cell: 4.065 5.564 7.833 Å, 84.94 88.61 86.45°
Fractional coordinates of all 12 atoms:
Sr  0.000  0.000  0.000
Ca  0.470  0.484  0.256
Ca  0.530  0.516  0.744
Cu  0.000  0.000  0.500
F  0.044  0.338  0.771
F  0.086  0.165  0.284
F  0.371  0.754  0.485
F  0.491  0.741  0.981
F  0.509  0.259  0.019
F  0.629  0.246  0.515
F  0.914  0.835  0.716
F  0.956  0.662  0.229

Calculated values
SG: P-1
Formation energy without anion corrections (eV/atom): -3.304

=====

(3)
Here is a relaxed structure of TmSc3Al from Alexandria via LeMat-Bulk. Energies are from GGA-PBE.

Cell: 3.249 10.243 7.934 Å, 90.00 101.79 90.00°
Fractional coordinates of all 10 atoms:
Tm  0.011  0.250  0.023
Tm  0.989  0.750  0.977
Sc  0.156  0.513  0.311
Sc  0.156  0.987  0.311
Sc  0.300  0.750  0.600
Sc  0.700  0.250  0.400
Sc  0.844  0.013  0.689
Sc  0.844  0.487  0.689
Al  0.352  0.250  0.705
Al  0.648  0.750  0.295

Calculated values
Distance to the lowest polymorph of the same formula (meV/atom): 66
SG: P2_1/m
DOS(E_F) (states/eV/atom): 1.52
E_form (eV/atom): 0.03

=====

(4)
Here is a relaxed structure of Mo3RuRh from Alexandria via LeMat-Bulk. Energies are from GGA-PBE.

Cell: 4.617 4.617 4.617 Å, 90.00 90.00 90.00°
Fractional coordinates of all 5 atoms:
Mo  0.000  0.000  0.500
Mo  0.000  0.500  0.000
Mo  0.500  0.000  0.000
Ru  0.000  0.000  0.000
Rh  0.500  0.500  0.500

Calculated values
Distance to the lowest polymorph of the same formula (meV/atom): 0
SG: Pm-3m
DOS(E_F) (states/eV/atom): 1.24
E_form (eV/atom): 1.65

=====

(5)
Here is a relaxed structure of NdHo3Tm6Sc2 from Alexandria via LeMat-Bulk. Energies are from GGA-PBE.

Cell: 6.012 6.012 11.536 Å, 94.97 94.97 119.95°
Fractional coordinates of all 12 atoms:
Nd  0.000  0.000  0.000
Ho  0.167  0.833  0.500
Ho  0.500  0.500  0.500
Ho  0.833  0.167  0.500
Tm  0.083  0.419  0.247
Tm  0.253  0.253  0.753
Tm  0.419  0.083  0.247
Tm  0.581  0.917  0.753
Tm  0.747  0.747  0.247
Tm  0.917  0.581  0.753
Sc  0.333  0.667  0.000
Sc  0.667  0.333  0.000

Calculated values
SG: C2/m
DOS(E_F) (states/eV/atom): 1.42
E_form (eV/atom): 0.04

=====

(6)
Here is a relaxed structure of Hf2SiC from Alexandria via LeMat-Bulk. Energies are from GGA-PBE.

Cell: 3.302 3.302 19.877 Å, 90.00 90.00 120.00°
Fractional coordinates of all 12 atoms:
Hf  0.000  0.000  0.230
Hf  0.000  0.000  0.770
Hf  0.333  0.667  0.436
Hf  0.333  0.667  0.897
Hf  0.667  0.333  0.103
Hf  0.667  0.333  0.564
Si  0.000  0.000  0.000
Si  0.333  0.667  0.667
Si  0.667  0.333  0.333
C  0.000  0.000  0.500
C  0.333  0.667  0.167
C  0.667  0.333  0.833

Calculated values
SG: R-3m
Formation energy without anion corrections (eV/atom): -0.721
DOS(E_F) (states/eV/atom): 0.26